1.
The following is a DFT calculation (GGA-PBE) of TeWS2N after structural relaxation.

extended XYZ file:
```
5
Lattice="4.883 0.000 0.000 0.000 4.883 0.000 0.000 0.000 3.835" Properties=species:S:1:pos:R:3 pbc="T T T"
Te 0.000 0.000 0.000
W 2.441 2.441 1.917
S 0.000 2.441 1.917
S 2.441 0.000 1.917
N 2.441 2.441 0.000
```

## Properties
E_form (uncorrected): 0.266 eV/atom
N(E_F): 0.64 states/eV per atom
VASP energy: -31.3 eV per cell
magnetization: 0.00 μB per formula unit

***

2.
The following is a DFT calculation (GGA-PBE) of AgPt3I after structural relaxation.

extended XYZ file:
```
5
Lattice="4.946 0.000 0.000 0.000 4.946 0.000 0.000 0.000 4.946" Properties=species:S:1:pos:R:3 pbc="T T T"
Ag 0.000 0.000 0.000
Pt 0.000 0.000 2.473
Pt 0.000 2.473 0.000
Pt 2.473 0.000 0.000
I 2.473 2.473 2.473
```

## Properties
E_form (uncorrected): 1.409 eV/atom
N(E_F): 1.25 states/eV per atom
VASP energy: -15.5 eV per cell
magnetization: 0.00 μB per formula unit

***

- The lowest E_form (uncorrected) belongs to which entry?
  TeWS2N

***

- Look up the VASP energy of the first one.
  -31.3 eV per cell